A plane-wave DFT calculation with PBE was carried out for a relaxed structure of BaCrMo2.

extended XYZ file:
```
4
Lattice="3.9736 0.0000 0.0000 0.0000 3.9736 0.0000 0.0000 0.0000 5.2611" Properties=species:S:1:pos:R:3 pbc="T T T"
Ba 0.0000 0.0000 0.0000
Cr 1.9868 1.9868 0.0000
Mo 0.0000 1.9868 2.6306
Mo 1.9868 0.0000 2.6306
```

Output
- V (Å³/cell) = 83.1
- energy relative to the elements (meV/atom) = 1455.6
- SG = P4/mmm (123)
- E (eV/atom) = -6.846
- energy above the lowest structure with this stoichiometry (meV/atom) = 695
- density (Mg/m³) = 7.62